1.
# PBE LaCdCo2, optimized geometry
# Size of the total moment in μB per formula unit: 2.06
# Total DFT energy (no corrections) in eV per atom: -5.012
# Formation energy in eV/atom: 0.001
data_LaCdCo2
_chemical_formula_sum 'La3 Cd3 Co6'
_cell_length_a 4.0832
_cell_length_b 4.0832
_cell_length_c 17.4475
_cell_angle_alpha 90.00
_cell_angle_beta 90.00
_cell_angle_gamma 120.00
_symmetry_space_group_name_H-M 'R 3 m'
_symmetry_Int_Tables_number 160
_symmetry_space_group_name_Hall 'R 3 -2"'
loop_
_atom_site_label
_atom_site_type_symbol
_atom_site_fract_x
_atom_site_fract_y
_atom_site_fract_z
La1 La 0.0000 0.0000 0.0000
Cd1 Cd 0.0000 0.0000 0.8073
Co1 Co 0.0000 0.0000 0.2242
Co2 Co 0.0000 0.0000 0.5542

---

2.
# PBE LaCdCo3, optimized geometry
# Size of the total moment in μB per formula unit: 3.96
# Total DFT energy (no corrections) in eV per atom: -4.492
# ΔE to the lowest computed polymorph in eV per atom: 0.000
# Formation energy in eV/atom: 0.940
data_LaCdCo3
_chemical_formula_sum 'La1 Cd1 Co3'
_cell_length_a 4.768
_cell_length_b 4.768
_cell_length_c 4.768
_cell_angle_alpha 90.00
_cell_angle_beta 90.00
_cell_angle_gamma 90.00
_symmetry_space_group_name_H-M 'P m -3 m'
_symmetry_Int_Tables_number 221
_symmetry_space_group_name_Hall '-P 4 2 3'
loop_
_atom_site_label
_atom_site_type_symbol
_atom_site_fract_x
_atom_site_fract_y
_atom_site_fract_z
La1 La 0.000 0.000 0.000
Cd1 Cd 0.500 0.500 0.500
Co1 Co 0.000 0.500 0.500